Compound: NaCoMoF6
Source: Alexandria via LeMat-Bulk
Functional: GGA+U
Structure: optimized geometry

Computed properties:
- Total energy: -5.234 eV/atom
- DOS(E_F): 0.000 states/eV/atom
- Size of the total moment: 11.9 Bohr magnetons per cell
- Symmetry: P-31c

a b c (Å): 5.5379 5.5379 9.6784
angles (deg): 90.00 90.00 120.00
Last column: magnetic moment on the atom in μB.
Sites, in units of the cell vectors:
F  0.6503  0.6458  0.6392  0.04
Mo  0.6667  0.3333  0.2500  2.78
F  0.6458  0.9955  0.3608  0.04
F  0.9955  0.3497  0.6392  0.04
F  0.6458  0.6503  0.1392  0.04
F  0.3497  0.3542  0.3608  0.04
F  0.9955  0.6458  0.8608  0.04
F  0.3497  0.9955  0.1392  0.04
F  0.0045  0.3542  0.1392  0.04
Co  0.3333  0.6667  0.2500  2.78
Mo  0.3333  0.6667  0.7500  2.78
Na  0.0000  0.0000  0.0000  0.00
F  0.3542  0.3497  0.8608  0.04
F  0.3542  0.0045  0.6392  0.04
Co  0.6667  0.3333  0.7500  2.78
F  0.6503  0.0045  0.8608  0.04
F  0.0045  0.6503  0.3608  0.04
Na  0.0000  0.0000  0.5000  0.00